*w*
DFT (GGA-PBE) results for crystalline MnFe3Br at its relaxed geometry.

Calculated values
* total magnetic moment: 6.01 μB per formula unit
* DOS at the Fermi energy: 10.15 states/eV per cell
* space-group type: No. 221

Unit cell a=4.306 b=4.306 c=4.306 alpha=90.00 beta=90.00 gamma=90.00
Fractional coordinates of all 5 atoms:
Mn 0.500 0.500 0.500
Fe 0.000 0.500 0.000
Fe 0.000 0.000 0.500
Fe 0.500 0.000 0.000
Br 0.000 0.000 0.000



*x*
DFT (GGA-PBE) results for crystalline MnFe3Br at its relaxed geometry.

Calculated values
* total magnetic moment: 6.65 μB per formula unit
* DOS at the Fermi energy: 8.23 states/eV per cell
* space-group type: No. 221

Unit cell a=4.373 b=4.373 c=4.373 alpha=90.00 beta=90.00 gamma=90.00
Fractional coordinates of all 5 atoms:
Mn 0.000 0.000 0.000
Fe 0.000 0.500 0.000
Fe 0.000 0.000 0.500
Fe 0.500 0.000 0.000
Br 0.500 0.500 0.500



The structure with the greatest stability is *x*.



*w*
DFT (GGA-PBE) results for crystalline MnFeSeBr2 at its relaxed geometry.

Calculated values
* total magnetic moment: 5.30 μB per formula unit
* DOS at the Fermi energy: 6.87 states/eV per cell
* space-group type: No. 123

Unit cell a=4.978 b=4.978 c=4.592 alpha=90.00 beta=90.00 gamma=90.00
Fractional coordinates of all 5 atoms:
Mn 0.500 0.500 0.500
Se 0.000 0.000 0.500
Br 0.000 0.500 0.000
Br 0.500 0.000 0.000
Fe 0.000 0.000 0.000



*x*
DFT (GGA-PBE) results for crystalline MnFeSeBr2 at its relaxed geometry.

Calculated values
* total magnetic moment: 0.69 μB per formula unit
* DOS at the Fermi energy: 7.53 states/eV per cell
* space-group type: No. 123

Unit cell a=5.003 b=5.003 c=5.136 alpha=90.00 beta=90.00 gamma=90.00
Fractional coordinates of all 5 atoms:
Mn 0.000 0.000 0.000
Se 0.000 0.000 0.500
Br 0.000 0.500 0.000
Br 0.500 0.000 0.000
Fe 0.500 0.500 0.500



The structure with the greatest stability is *x*.



*w*
DFT (GGA-PBE) results for crystalline FeMoBr2 at its relaxed geometry.

Calculated values
* total magnetic moment: 0.02 μB per formula unit
* space-group type: No. 8

Unit cell a=3.509 b=3.509 c=8.893 alpha=80.71 beta=80.71 gamma=57.79
Fractional coordinates of all 4 atoms:
Br 0.951 0.951 0.109
Br 0.748 0.748 0.663
Fe 0.564 0.564 0.294
Mo 0.238 0.238 0.434



*x*
DFT (GGA-PBE) results for crystalline FeMoBr2 at its relaxed geometry.

Calculated values
* total magnetic moment: 0.02 μB per formula unit
* DOS at the Fermi energy: 1.99 states/eV per cell
* space-group type: No. 216

Unit cell a=4.855 b=4.855 c=4.855 alpha=60.00 beta=60.00 gamma=60.00
Fractional coordinates of all 4 atoms:
Br 0.000 0.000 0.000
Br 0.250 0.250 0.250
Fe 0.500 0.500 0.500
Mo 0.750 0.750 0.750



*y*
DFT (GGA-PBE) results for crystalline FeMoBr2 at its relaxed geometry.

Calculated values
* total magnetic moment: 1.02 μB per formula unit
* DOS at the Fermi energy: 1.75 states/eV per cell
* space-group type: No. 44

Unit cell a=9.040 b=9.040 c=9.040 alpha=159.11 beta=159.26 gamma=29.60
Fractional coordinates of all 4 atoms:
Br 0.009 0.009 0.000
Br 0.735 0.235 0.500
Fe 0.424 0.424 0.000
Mo 0.331 0.831 0.500



The structure with the greatest stability is *w*.



*w*
DFT (GGA-PBE) results for crystalline FeMoBr2 at its relaxed geometry.

Calculated values
* total magnetic moment: 3.12 μB per formula unit
* DOS at the Fermi energy: 5.27 states/eV per cell
* space-group type: No. 166

Unit cell a=9.047 b=9.047 c=9.047 alpha=20.33 beta=20.33 gamma=20.33
Fractional coordinates of all 4 atoms:
Mo 0.500 0.500 0.500
Fe 0.000 0.000 0.000
Br 0.904 0.904 0.904
Br 0.096 0.096 0.096



*x*
DFT (GGA-PBE) results for crystalline FeMoBr2 at its relaxed geometry.

Calculated values
* total magnetic moment: 0.93 μB per formula unit
* DOS at the Fermi energy: 4.23 states/eV per cell
* space-group type: No. 123

Unit cell a=3.269 b=3.269 c=6.465 alpha=90.00 beta=90.00 gamma=90.00
Fractional coordinates of all 4 atoms:
Br 0.000 0.000 0.003
Br 0.000 0.000 0.497
Fe 0.500 0.500 0.250
Mo 0.500 0.500 0.750



*y*
DFT (GGA-PBE) results for crystalline FeMoBr2 at its relaxed geometry.

Calculated values
* total magnetic moment: 0.12 μB per formula unit
* DOS at the Fermi energy: 1.60 states/eV per cell
* space-group type: No. 6

Unit cell a=3.345 b=4.162 c=7.225 alpha=75.72 beta=90.00 gamma=90.00
Fractional coordinates of all 4 atoms:
Br 0.000 0.982 0.885
Br 0.500 0.295 0.365
Fe 0.000 0.436 0.612
Mo 0.500 0.787 0.638



The structure with the greatest stability is *y*.



*w*
DFT (GGA-PBE) results for crystalline FeMoBr2 at its relaxed geometry.

Calculated values
* total magnetic moment: 3.55 μB per formula unit
* DOS at the Fermi energy: 4.36 states/eV per cell
* space-group type: No. 12

Unit cell a=5.952 b=5.952 c=3.069 alpha=61.33 beta=61.33 gamma=90.01
Fractional coordinates of all 4 atoms:
Br 0.000 0.000 0.000
Br 0.500 0.500 0.000
Fe 0.500 0.000 0.500
Mo 0.000 0.500 0.500



*x*
DFT (GGA-PBE) results for crystalline FeMoBr2 at its relaxed geometry.

Calculated values
* total magnetic moment: 3.54 μB per formula unit
* DOS at the Fermi energy: 3.92 states/eV per cell
* space-group type: No. 10

Unit cell a=4.294 b=3.088 c=6.203 alpha=109.07 beta=90.00 gamma=90.00
Fractional coordinates of all 4 atoms:
Br 0.000 0.836 0.003
Br 0.000 0.664 0.497
Fe 0.500 0.250 0.250
Mo 0.500 0.750 0.750



The structure with the greatest stability is *x*.



*w*
DFT (GGA-PBE) results for crystalline FeMo3Br at its relaxed geometry.

Calculated values
* total magnetic moment: 0.00 μB per formula unit
* DOS at the Fermi energy: 4.53 states/eV per cell
* space-group type: No. 221

Unit cell a=4.543 b=4.543 c=4.543 alpha=90.00 beta=90.00 gamma=90.00
Fractional coordinates of all 5 atoms:
Mo 0.000 0.500 0.000
Mo 0.000 0.000 0.500
Mo 0.500 0.000 0.000
Fe 0.000 0.000 0.000
Br 0.500 0.500 0.500



*x*
DFT (GGA-PBE) results for crystalline FeMo3Br at its relaxed geometry.

Calculated values
* total magnetic moment: 0.00 μB per formula unit
* DOS at the Fermi energy: 9.06 states/eV per cell
* space-group type: No. 221

Unit cell a=4.544 b=4.544 c=4.544 alpha=90.00 beta=90.00 gamma=90.00
Fractional coordinates of all 5 atoms:
Mo 0.000 0.500 0.000
Mo 0.000 0.000 0.500
Mo 0.500 0.000 0.000
Fe 0.500 0.500 0.500
Br 0.000 0.000 0.000



The structure with the greatest stability is *w*.



*w*
DFT (GGA-PBE) results for crystalline Fe3MoBr at its relaxed geometry.

Calculated values
* total magnetic moment: 5.73 μB per formula unit
* DOS at the Fermi energy: 6.29 states/eV per cell
* space-group type: No. 221

Unit cell a=4.595 b=4.595 c=4.595 alpha=90.00 beta=90.00 gamma=90.00
Fractional coordinates of all 5 atoms:
Mo 0.000 0.000 0.000
Fe 0.000 0.500 0.000
Fe 0.000 0.000 0.500
Fe 0.500 0.000 0.000
Br 0.500 0.500 0.500



*x*
DFT (GGA-PBE) results for crystalline Fe3MoBr at its relaxed geometry.

Calculated values
* total magnetic moment: 0.00 μB per formula unit
* DOS at the Fermi energy: 14.81 states/eV per cell
* space-group type: No. 221

Unit cell a=4.229 b=4.229 c=4.229 alpha=90.00 beta=90.00 gamma=90.00
Fractional coordinates of all 5 atoms:
Mo 0.500 0.500 0.500
Fe 0.000 0.500 0.000
Fe 0.000 0.000 0.500
Fe 0.500 0.000 0.000
Br 0.000 0.000 0.000



The structure with the greatest stability is *w*.



*w*
DFT (GGA-PBE) results for crystalline FeS2BrN at its relaxed geometry.

Calculated values
* total magnetic moment: 0.19 μB per formula unit
* DOS at the Fermi energy: 4.59 states/eV per cell
* space-group type: No. 123

Unit cell a=4.721 b=4.721 c=3.460 alpha=90.00 beta=90.00 gamma=90.00
Fractional coordinates of all 5 atoms:
S 0.000 0.500 0.000
S 0.500 0.000 0.000
Fe 0.000 0.000 0.000
Br 0.500 0.500 0.500
N 0.000 0.000 0.500



*x*
DFT (GGA-PBE) results for crystalline FeS2BrN at its relaxed geometry.

Calculated values
* total magnetic moment: 4.12 μB per formula unit
* DOS at the Fermi energy: 5.55 states/eV per cell
* space-group type: No. 123

Unit cell a=4.970 b=4.970 c=3.659 alpha=90.00 beta=90.00 gamma=90.00
Fractional coordinates of all 5 atoms:
S 0.000 0.500 0.000
S 0.500 0.000 0.000
Fe 0.500 0.500 0.500
Br 0.000 0.000 0.000
N 0.000 0.000 0.500



The structure with the greatest stability is *w*.



*w*
DFT (GGA-PBE) results for crystalline FeSeBr2N at its relaxed geometry.

Calculated values
* total magnetic moment: 0.00 μB per formula unit
* DOS at the Fermi energy: 9.09 states/eV per cell
* space-group type: No. 123

Unit cell a=4.883 b=4.883 c=4.436 alpha=90.00 beta=90.00 gamma=90.00
Fractional coordinates of all 5 atoms:
N 0.500 0.500 0.500
Se 0.000 0.000 0.500
Br 0.000 0.500 0.000
Br 0.500 0.000 0.000
Fe 0.000 0.000 0.000



*x*
DFT (GGA-PBE) results for crystalline FeSeBr2N at its relaxed geometry.

Calculated values
* total magnetic moment: 4.04 μB per formula unit
* DOS at the Fermi energy: 4.48 states/eV per cell
* space-group type: No. 123

Unit cell a=4.489 b=4.489 c=4.777 alpha=90.00 beta=90.00 gamma=90.00
Fractional coordinates of all 5 atoms:
N 0.000 0.000 0.000
Se 0.000 0.000 0.500
Br 0.000 0.500 0.000
Br 0.500 0.000 0.000
Fe 0.500 0.500 0.500



The structure with the greatest stability is *x*.



*w*
DFT (GGA-PBE) results for crystalline Na2FeBr at its relaxed geometry.

Calculated values
* total magnetic moment: 3.02 μB per formula unit
* DOS at the Fermi energy: 11.88 states/eV per cell
* space-group type: No. 225

Unit cell a=5.298 b=5.298 c=5.298 alpha=60.00 beta=60.00 gamma=60.00
Fractional coordinates of all 4 atoms:
Na 0.250 0.250 0.250
Na 0.750 0.750 0.750
Fe 0.000 0.000 0.000
Br 0.500 0.500 0.500



*x*
DFT (GGA-PBE) results for crystalline Na2FeBr at its relaxed geometry.

Calculated values
* total magnetic moment: 3.00 μB per formula unit
* DOS at the Fermi energy: 24.77 states/eV per cell
* space-group type: No. 122

Unit cell a=7.926 b=7.926 c=6.767 alpha=54.15 beta=54.15 gamma=90.00
Fractional coordinates of all 8 atoms:
Na 0.650 0.125 0.250
Na 0.100 0.625 0.250
Na 0.375 0.350 0.750
Na 0.875 0.900 0.750
Fe 0.500 0.500 0.000
Fe 0.250 0.750 0.500
Br 0.000 0.000 0.000
Br 0.750 0.250 0.500



The structure with the greatest stability is *x*.



*w*
DFT (GGA-PBE) results for crystalline NaFeBr4 at its relaxed geometry.

Calculated values
* total magnetic moment: 5.00 μB per formula unit
* space-group type: No. 62

Unit cell a=7.741 b=7.717 c=13.944 alpha=90.00 beta=90.00 gamma=90.00
Fractional coordinates of all 24 atoms:
Na 0.549 0.750 0.843
Na 0.451 0.250 0.157
Na 0.049 0.250 0.657
Na 0.951 0.750 0.343
Fe 0.807 0.750 0.601
Fe 0.193 0.250 0.399
Fe 0.307 0.250 0.899
Fe 0.693 0.750 0.101
Br 0.096 0.750 0.550
Br 0.904 0.250 0.450
Br 0.596 0.250 0.950
Br 0.404 0.750 0.050
Br 0.746 0.505 0.699
Br 0.254 0.495 0.301
Br 0.246 0.495 0.801
Br 0.254 0.005 0.301
Br 0.754 0.505 0.199
Br 0.746 0.995 0.699
Br 0.754 0.995 0.199
Br 0.246 0.005 0.801
Br 0.869 0.750 0.964
Br 0.131 0.250 0.036
Br 0.369 0.250 0.536
Br 0.631 0.750 0.464



*x*
DFT (GGA-PBE) results for crystalline NaFeBr4 at its relaxed geometry.

Calculated values
* total magnetic moment: 5.00 μB per formula unit
* space-group type: No. 112

Unit cell a=6.591 b=6.591 c=11.434 alpha=90.00 beta=90.00 gamma=90.00
Fractional coordinates of all 12 atoms:
Na 0.000 0.000 0.000
Na 0.000 0.000 0.500
Fe 0.000 0.500 0.250
Fe 0.500 0.000 0.750
Br 0.298 0.218 0.866
Br 0.702 0.782 0.866
Br 0.218 0.298 0.366
Br 0.298 0.782 0.634
Br 0.702 0.218 0.634
Br 0.218 0.702 0.134
Br 0.782 0.298 0.134
Br 0.782 0.702 0.366



The structure with the greatest stability is *w*.



*w*
DFT (GGA-PBE) results for crystalline Na2FeBr6 at its relaxed geometry.

Calculated values
* total magnetic moment: 2.00 μB per formula unit
* DOS at the Fermi energy: 13.53 states/eV per cell
* space-group type: No. 136

Unit cell a=6.605 b=6.605 c=12.459 alpha=90.00 beta=90.00 gamma=90.00
Fractional coordinates of all 18 atoms:
Na 0.000 0.000 0.333
Na 0.500 0.500 0.833
Na 0.500 0.500 0.167
Na 0.000 0.000 0.667
Fe 0.000 0.000 0.000
Fe 0.500 0.500 0.500
Br 0.318 0.318 0.359
Br 0.682 0.682 0.359
Br 0.182 0.818 0.859
Br 0.818 0.182 0.859
Br 0.182 0.818 0.141
Br 0.818 0.182 0.141
Br 0.318 0.318 0.641
Br 0.682 0.682 0.641
Br 0.260 0.260 0.000
Br 0.740 0.740 0.000
Br 0.240 0.760 0.500
Br 0.760 0.240 0.500



*x*
DFT (GGA-PBE) results for crystalline Na2FeBr6 at its relaxed geometry.

Calculated values
* total magnetic moment: 3.94 μB per formula unit
* DOS at the Fermi energy: 2.89 states/eV per cell
* space-group type: No. 15

Unit cell a=5.907 b=11.087 c=11.087 alpha=116.19 beta=96.48 gamma=96.48
Fractional coordinates of all 18 atoms:
Na 0.555 0.543 0.709
Na 0.945 0.291 0.457
Na 0.445 0.457 0.291
Na 0.055 0.709 0.543
Fe 0.250 0.182 0.818
Fe 0.750 0.818 0.182
Br 0.563 0.710 0.561
Br 0.937 0.439 0.290
Br 0.437 0.290 0.439
Br 0.063 0.561 0.710
Br 0.053 0.851 0.353
Br 0.447 0.647 0.149
Br 0.947 0.149 0.647
Br 0.553 0.353 0.851
Br 0.882 0.771 0.980
Br 0.618 0.020 0.229
Br 0.118 0.229 0.020
Br 0.382 0.980 0.771



The structure with the greatest stability is *x*.